An optimized crystal structure of CuNi2, computed with PBE-GGA.

Unit cell a=2.506 b=2.506 c=6.167 alpha=90.00 beta=90.00 gamma=120.00
Positions (direct):
Cu  0.000  0.000  0.000
Ni  0.333  0.667  0.337
Ni  0.667  0.333  0.663

The calculated total energy is -15.594 eV/cell. The calculation puts the calculated volume at 11.2 Å³ per atom. Its density is 8.96 g cm⁻³. As for the density of states at the Fermi level: 1.390 states/eV/atom.

An optimized crystal structure of Ti6Al10Cr, computed with PBE-GGA.

Unit cell a=7.682 b=7.682 c=5.423 alpha=90.00 beta=90.00 gamma=120.00
Positions (direct):
Ti  0.000  0.382  0.204
Ti  0.000  0.618  0.796
Ti  0.382  0.000  0.204
Ti  0.382  0.382  0.796
Ti  0.618  0.000  0.796
Ti  0.618  0.618  0.204
Al  0.000  0.257  0.690
Al  0.000  0.743  0.310
Al  0.257  0.000  0.690
Al  0.257  0.257  0.310
Al  0.333  0.667  0.000
Al  0.333  0.667  0.500
Al  0.667  0.333  0.000
Al  0.667  0.333  0.500
Al  0.743  0.000  0.310
Al  0.743  0.743  0.690
Cr  0.000  0.000  0.000

The calculated total energy is -97.221 eV/cell. The calculation puts the calculated volume at 16.3 Å³ per atom. Its density is 3.65 g cm⁻³. As for the density of states at the Fermi level: 0.616 states/eV/atom.